Density functional theory data (PBE) for a relaxed structure of LiI2NO.

The value obtained for the formation energy without anion corrections is 5.93 eV per formula unit. Its final energy is -2.473 eV/atom. Its calculated volume is 122 Å³/f.u.

Unit cell a=5.5328 b=5.5328 c=3.9937 alpha=90.00 beta=90.00 gamma=90.00
Last column: nearest neighbours and their distance in Å.
Sites, in units of the cell vectors:
I (0.0000, 0.5000, 0.0000)  2 Li 2.77
I (0.5000, 0.0000, 0.0000)  2 Li 2.77
Li (0.0000, 0.0000, 0.0000)  2 N 2.00
O (0.5000, 0.5000, 0.5000)  8 I 3.41
N (0.0000, 0.0000, 0.5000)  2 Li 2.00